Record 1
Ti2VGa | GGA-PBE | optimized geometry

space-group type = P4/mmm
calculated total energy = -7.224 eV/atom

abc: 4.115 4.115 3.644
angles: 90.00 90.00 90.00
Fractional positions:
Ti: 0.000 0.500 0.000
Ti: 0.500 0.000 0.000
V: 0.000 0.000 0.500
Ga: 0.500 0.500 0.500


Record 2
Zr2TiTl | GGA-PBE | optimized geometry

space-group type = C2/m
energy relative to the lowest polymorph listed for this composition = 2 meV per atom

abc: 6.159 6.159 5.274
angles: 102.03 102.03 62.33
Fractional positions:
Zr: 0.128 0.627 0.719
Zr: 0.373 0.872 0.281
Zr: 0.627 0.128 0.719
Zr: 0.872 0.373 0.281
Ti: 0.105 0.105 0.752
Ti: 0.895 0.895 0.248
Tl: 0.360 0.360 0.205
Tl: 0.640 0.640 0.795


Record 3
Hf2TlBMo | GGA-PBE | optimized geometry

space-group type = P4/mmm
calculated total energy = -6.052 eV/atom

abc: 5.334 5.334 3.927
angles: 90.00 90.00 90.00
Fractional positions:
Hf: 0.000 0.500 0.000
Hf: 0.500 0.000 0.000
Tl: 0.000 0.000 0.000
B: 0.000 0.000 0.500
Mo: 0.500 0.500 0.500


Record 4
Na2TcSb | GGA-PBE | optimized geometry

energy relative to the elements, uncorrected = 2.66 eV per formula unit
space-group type = I-42d

abc: 6.656 6.656 6.656
angles: 99.04 99.04 133.30
Fractional positions:
Na: 0.112 0.625 0.987
Na: 0.375 0.362 0.487
Na: 0.638 0.125 0.013
Na: 0.875 0.888 0.513
Tc: 0.000 0.000 0.000
Tc: 0.750 0.250 0.500
Sb: 0.250 0.750 0.500
Sb: 0.500 0.500 0.000


Record 5
SrMoPt2 | GGA-PBE | optimized geometry

space-group type = Cm
energy relative to the lowest polymorph listed for this composition = 236 meV per atom

abc: 5.518 5.518 5.134
angles: 103.30 103.30 30.03
Fractional positions:
Sr: 0.000 0.000 0.000
Mo: 0.793 0.793 0.386
Pt: 0.243 0.243 0.841
Pt: 0.523 0.523 0.501


Record 6
Be2AlS | GGA-PBE | optimized geometry

energy relative to the elements, uncorrected = 2.84 eV per formula unit
space-group type = Fm-3m
energy relative to the lowest polymorph listed for this composition = 598 meV per atom

abc: 4.161 4.161 4.161
angles: 60.00 60.00 60.00
Fractional positions:
Be: 0.250 0.250 0.250
Be: 0.750 0.750 0.750
Al: 0.000 0.000 0.000
S: 0.500 0.500 0.500


Record 7
Tb8Sm4Er | GGA-PBE | optimized geometry

space-group type = R-3m
calculated total energy = -4.151 eV/atom

abc: 7.787 7.787 7.787
angles: 90.09 90.09 90.09
Fractional positions:
Tb: 0.240 0.240 0.240
Tb: 0.240 0.240 0.759
Tb: 0.240 0.759 0.240
Tb: 0.241 0.760 0.760
Tb: 0.759 0.240 0.240
Tb: 0.760 0.241 0.760
Tb: 0.760 0.760 0.241
Tb: 0.760 0.760 0.760
Sm: 0.000 0.000 0.000
Sm: 0.000 0.500 0.500
Sm: 0.500 0.000 0.500
Sm: 0.500 0.500 0.000
Er: 0.500 0.500 0.500


Record 8
Zr2CdIn4 | GGA-PBE | optimized geometry

space-group type = C2/m
calculated total energy = -4.214 eV/atom

abc: 6.134 6.134 6.118
angles: 106.98 106.98 114.42
Fractional positions:
Zr: 0.000 0.500 0.000
Zr: 0.500 0.000 0.000
Cd: 0.000 0.000 0.500
In: 0.000 0.000 0.000
In: 0.000 0.500 0.500
In: 0.500 0.000 0.500
In: 0.500 0.500 0.000


Record 9
Hf2In2Se | GGA-PBE | optimized geometry

energy relative to the elements, uncorrected = 1.13 eV per formula unit
space-group type = P4/mbm
energy relative to the lowest polymorph listed for this composition = 617 meV per atom

abc: 7.823 7.823 3.777
angles: 90.00 90.00 90.00
Fractional positions:
Hf: 0.178 0.322 0.000
Hf: 0.322 0.822 0.000
Hf: 0.678 0.178 0.000
Hf: 0.822 0.678 0.000
In: 0.126 0.626 0.500
In: 0.374 0.126 0.500
In: 0.626 0.874 0.500
In: 0.874 0.374 0.500
Se: 0.000 0.000 0.500
Se: 0.500 0.500 0.500


Record 10
TbHoThMg | GGA-PBE | optimized geometry

space-group type = F-43m
energy relative to the lowest polymorph listed for this composition = 215 meV per atom

abc: 5.531 5.531 5.531
angles: 60.00 60.00 60.00
Fractional positions:
Tb: 0.000 0.000 0.000
Ho: 0.500 0.500 0.500
Th: 0.250 0.250 0.250
Mg: 0.750 0.750 0.750


Record 11
SiOs4Rh | GGA-PBE | optimized geometry

energy relative to the elements, uncorrected = 5.73 eV per formula unit
space-group type = F-43m

abc: 5.113 5.113 5.113
angles: 60.00 60.00 60.00
Fractional positions:
Si: 0.000 0.000 0.000
Os: 0.127 0.624 0.624
Os: 0.624 0.127 0.624
Os: 0.624 0.624 0.127
Os: 0.624 0.624 0.624
Rh: 0.250 0.250 0.250


Record 12
NaSrMg2Ir | GGA-PBE | optimized geometry

space-group type = P4/mmm
calculated total energy = -3.075 eV/atom

abc: 5.180 5.180 5.685
angles: 90.00 90.00 90.00
Fractional positions:
Na: 0.000 0.000 0.000
Sr: 0.500 0.500 0.000
Mg: 0.000 0.500 0.500
Mg: 0.500 0.000 0.500
Ir: 0.500 0.500 0.500


Record 13
SiTePPt2 | GGA-PBE | optimized geometry

energy relative to the elements, uncorrected = 1.73 eV per formula unit
space-group type = P4/mmm

abc: 4.594 4.594 4.737
angles: 90.00 90.00 90.00
Fractional positions:
Si: 0.000 0.000 0.000
Te: 0.500 0.500 0.000
P: 0.000 0.000 0.500
Pt: 0.000 0.500 0.500
Pt: 0.500 0.000 0.500


Record 14
Ac3Y12Ga5 | GGA-PBE | optimized geometry

space-group type = Ia-3d
calculated total energy = -4.911 eV/atom

abc: 15.689 15.689 15.689
angles: 109.47 109.47 109.47
Fractional positions:
Ac: 0.125 0.250 0.375
Ac: 0.125 0.375 0.750
Ac: 0.250 0.375 0.125
Ac: 0.250 0.875 0.625
Ac: 0.375 0.125 0.250
Ac: 0.375 0.750 0.125
Ac: 0.625 0.250 0.875
Ac: 0.625 0.875 0.750
Ac: 0.750 0.125 0.375
Ac: 0.750 0.625 0.875
Ac: 0.875 0.625 0.250
Ac: 0.875 0.750 0.625
Y: 0.017 0.197 0.092
Y: 0.017 0.319 0.924
Y: 0.076 0.592 0.395
Y: 0.076 0.983 0.681
Y: 0.092 0.017 0.197
Y: 0.092 0.576 0.895
Y: 0.105 0.697 0.681
Y: 0.105 0.908 0.424
Y: 0.181 0.197 0.605
Y: 0.181 0.483 0.576
Y: 0.197 0.092 0.017
Y: 0.197 0.605 0.181
Y: 0.303 0.319 0.895
Y: 0.303 0.483 0.408
Y: 0.319 0.895 0.303
Y: 0.319 0.924 0.017
Y: 0.395 0.076 0.592
Y: 0.395 0.819 0.803
Y: 0.408 0.303 0.483
Y: 0.408 0.605 0.924
Y: 0.424 0.105 0.908
Y: 0.424 0.819 0.517
Y: 0.483 0.408 0.303
Y: 0.483 0.576 0.181
Y: 0.517 0.424 0.819
Y: 0.517 0.592 0.697
Y: 0.576 0.181 0.483
Y: 0.576 0.895 0.092
Y: 0.592 0.395 0.076
Y: 0.592 0.697 0.517
Y: 0.605 0.181 0.197
Y: 0.605 0.924 0.408
Y: 0.681 0.076 0.983
Y: 0.681 0.105 0.697
Y: 0.697 0.517 0.592
Y: 0.697 0.681 0.105
Y: 0.803 0.395 0.819
Y: 0.803 0.908 0.983
Y: 0.819 0.517 0.424
Y: 0.819 0.803 0.395
Y: 0.895 0.092 0.576
Y: 0.895 0.303 0.319
Y: 0.908 0.424 0.105
Y: 0.908 0.983 0.803
Y: 0.924 0.017 0.319
Y: 0.924 0.408 0.605
Y: 0.983 0.681 0.076
Y: 0.983 0.803 0.908
Ga: 0.000 0.000 0.000
Ga: 0.000 0.000 0.500
Ga: 0.000 0.500 0.000
Ga: 0.000 0.500 0.500
Ga: 0.125 0.750 0.875
Ga: 0.125 0.875 0.250
Ga: 0.250 0.125 0.875
Ga: 0.250 0.625 0.375
Ga: 0.375 0.250 0.625
Ga: 0.375 0.625 0.750
Ga: 0.500 0.000 0.000
Ga: 0.500 0.000 0.500
Ga: 0.500 0.500 0.000
Ga: 0.500 0.500 0.500
Ga: 0.625 0.375 0.250
Ga: 0.625 0.750 0.375
Ga: 0.750 0.375 0.625
Ga: 0.750 0.875 0.125
Ga: 0.875 0.125 0.750
Ga: 0.875 0.250 0.125


Record 15
Na2FeSe2 | GGA-PBE | optimized geometry

energy relative to the elements, uncorrected = 0.21 eV per formula unit
space-group type = I4/mmm

abc: 7.721 7.721 7.721
angles: 151.14 151.14 41.28
Fractional positions:
Na: 0.250 0.750 0.500
Na: 0.750 0.250 0.500
Fe: 0.000 0.000 0.000
Se: 0.394 0.394 0.000
Se: 0.606 0.606 0.000


Record 16
K2VCrAu | GGA-PBE | optimized geometry

space-group type = P4/mmm
calculated total energy = -3.798 eV/atom

abc: 6.233 6.233 5.167
angles: 90.00 90.00 90.00
Fractional positions:
K: 0.000 0.500 0.000
K: 0.500 0.000 0.000
V: 0.000 0.000 0.500
Cr: 0.500 0.500 0.500
Au: 0.000 0.000 0.000


Record 17
Ba4PtBr2 | GGA-PBE | optimized geometry

energy relative to the elements, uncorrected = -7.32 eV per formula unit
space-group type = I4/mmm

abc: 9.319 9.319 9.319
angles: 140.94 140.94 56.43
Fractional positions:
Ba: 0.000 0.500 0.500
Ba: 0.198 0.198 0.000
Ba: 0.500 0.000 0.500
Ba: 0.802 0.802 0.000
Pt: 0.000 0.000 0.000
Br: 0.394 0.394 0.000
Br: 0.606 0.606 0.000


Record 18
CsHg3Pt | GGA-PBE | optimized geometry

space-group type = R3m
energy relative to the lowest polymorph listed for this composition = 418 meV per atom

abc: 7.864 7.864 7.864
angles: 57.82 57.82 57.82
Fractional positions:
Cs: 0.000 0.000 0.000
Hg: 0.559 0.958 0.958
Hg: 0.958 0.559 0.958
Hg: 0.958 0.958 0.559
Pt: 0.164 0.164 0.164


Record 19
Zn4CuPt | GGA-PBE | optimized geometry

space-group type = C2/m
energy relative to the lowest polymorph listed for this composition = 0 meV per atom

abc: 4.725 4.725 5.526
angles: 107.23 107.23 46.59
Fractional positions:
Zn: 0.163 0.163 0.337
Zn: 0.165 0.165 0.829
Zn: 0.835 0.835 0.171
Zn: 0.837 0.837 0.663
Cu: 0.500 0.500 0.500
Pt: 0.500 0.500 0.000


Record 20
NbFeTcHg2 | GGA-PBE | optimized geometry

space-group type = P4/mmm
calculated total energy = -4.658 eV/atom

abc: 4.869 4.869 4.297
angles: 90.00 90.00 90.00
Fractional positions:
Nb: 0.000 0.000 0.000
Fe: 0.500 0.500 0.500
Tc: 0.500 0.500 0.000
Hg: 0.000 0.500 0.500
Hg: 0.500 0.000 0.500


| no. | calculated density (g/cm³) |
| --- | --- |
| 1 | 5.8 |
| 2 | 8.4 |
| 3 | 9.9 |
| 4 | 4.5 |
| 5 | 12.5 |
| 6 | 2.5 |
| 7 | 7.2 |
| 8 | 7.1 |
| 9 | 9.6 |
| 10 | 8.1 |
| 11 | 15.7 |
| 12 | 3.8 |
| 13 | 9.6 |
| 14 | 4.7 |
| 15 | 4.0 |
| 16 | 3.1 |
| 17 | 4.7 |
| 18 | 4.7 |
| 19 | 10.2 |
| 20 | 10.6 |